TbTmAu2: relaxed, PBE.

Values from the calculation:
Fermi-level density of states in states/eV/atom: 0.62
Final energy in eV/atom: -4.78
ΔE_f in meV per atom: -864

a = 5.0723 Å, b = 5.0723 Å, c = 5.0723 Å
α = 60.00°, β = 60.00°, γ = 60.00°
Atoms (fractional coordinates):
Tb1 0.0000 0.0000 0.0000
Tm1 0.5000 0.5000 0.5000
Au1 0.2500 0.2500 0.2500
Au2 0.7500 0.7500 0.7500